Record 1
# Sr7BiN2

Sr7BiN2 after structural relaxation (PBE, Alexandria via LeMat-Bulk).

Computed properties:
Formation energy from raw total energies   -366 meV/atom
SG   Cmmm (65)
Calculated density   3.85 Mg/m³

Cell: 4.2108 10.7289 10.7289 Å, 130.88 90.00 90.00°
Positions (direct):
Sr (0.0000, 0.7008, 0.2992)
Sr (0.0000, 0.2992, 0.7008)
Sr (0.5000, 0.0924, 0.3374)
Sr (0.5000, 0.9076, 0.6626)
Sr (0.5000, 0.3374, 0.0924)
Sr (0.5000, 0.6626, 0.9076)
Sr (0.5000, 0.5000, 0.5000)
Bi (0.0000, 0.0000, 0.0000)
N (0.5000, 0.6284, 0.3716)
N (0.5000, 0.3716, 0.6284)

***

Record 2
# Sr4Bi2N

Sr4Bi2N after structural relaxation (PBE, Alexandria via LeMat-Bulk).

Computed properties:
Formation energy from raw total energies   -819 meV/atom
SG   I4/mmm (139)
Calculated density   5.61 Mg/m³

Cell: 5.1722 5.1722 9.3949 Å, 74.02 74.02 90.00°
Positions (direct):
Sr (0.1596, 0.1596, 0.6807)
Sr (0.8404, 0.8404, 0.3193)
Sr (0.0000, 0.5000, 0.0000)
Sr (0.5000, 0.0000, 0.0000)
Bi (0.3601, 0.3601, 0.2798)
Bi (0.6399, 0.6399, 0.7202)
N (0.0000, 0.0000, 0.0000)

***

Record 3
# Sr5Bi3N

Sr5Bi3N after structural relaxation (PBE, Alexandria via LeMat-Bulk).

Computed properties:
Formation energy from raw total energies   -831 meV/atom
SG   I4/mcm (140)
Calculated density   5.72 Mg/m³

Cell: 8.6986 8.6986 10.3187 Å, 114.93 114.93 90.00°
Positions (direct):
Sr (0.5000, 0.5000, 0.0000)
Sr (0.0000, 0.0000, 0.0000)
Sr (0.1880, 0.9891, 0.6772)
Sr (0.4891, 0.6880, 0.6772)
Sr (0.6880, 0.1880, 0.6772)
Sr (0.9891, 0.4891, 0.6772)
Sr (0.8120, 0.0109, 0.3228)
Sr (0.5109, 0.3120, 0.3228)
Sr (0.3120, 0.8120, 0.3228)
Sr (0.0109, 0.5109, 0.3228)
Bi (0.2500, 0.2500, 0.5000)
Bi (0.7500, 0.7500, 0.5000)
Bi (0.1279, 0.3721, 0.0000)
Bi (0.8721, 0.6279, 0.0000)
Bi (0.6279, 0.1279, 0.0000)
Bi (0.3721, 0.8721, 0.0000)
N (0.2500, 0.7500, 0.5000)
N (0.7500, 0.2500, 0.5000)

***

Record 4
# SrBiN3

SrBiN3 after structural relaxation (PBE, Alexandria via LeMat-Bulk).

Computed properties:
Formation energy from raw total energies   1986 meV/atom
SG   Pm-3m (221)
Calculated density   6.48 Mg/m³

Cell: 4.4264 4.4264 4.4264 Å, 90.00 90.00 90.00°
Site moments in Bohr magnetons follow the coordinates.
Positions (direct):
Sr (0.0000, 0.0000, 0.0000)  0.01
Bi (0.5000, 0.5000, 0.5000)  -0.23
N (0.0000, 0.5000, 0.0000)  0.61
N (0.0000, 0.0000, 0.5000)  0.46
N (0.5000, 0.0000, 0.0000)  0.50

***

Record 5
# Sr3Bi3N5

Sr3Bi3N5 after structural relaxation (PBE, Alexandria via LeMat-Bulk).

Computed properties:
Formation energy from raw total energies   -31 meV/atom
SG   P-1 (2)
Calculated density   6.61 Mg/m³

Cell: 6.4194 7.0643 10.9578 Å, 103.27 93.78 92.02°
Positions (direct):
Sr (0.7701, 0.3894, 0.5517)
Sr (0.2299, 0.6106, 0.4483)
Sr (0.6588, 0.7998, 0.8855)
Sr (0.3412, 0.2002, 0.1145)
Sr (0.6832, 0.7884, 0.2710)
Sr (0.3168, 0.2116, 0.7290)
Bi (0.8781, 0.2901, 0.9002)
Bi (0.1219, 0.7099, 0.0998)
Bi (0.7300, 0.9318, 0.5977)
Bi (0.2700, 0.0682, 0.4023)
Bi (0.1657, 0.7409, 0.7748)
Bi (0.8343, 0.2591, 0.2252)
N (0.9491, 0.9843, 0.7711)
N (0.0509, 0.0157, 0.2289)
N (0.8338, 0.6859, 0.4677)
N (0.1662, 0.3141, 0.5323)
N (0.6663, 0.4118, 0.7850)
N (0.3337, 0.5882, 0.2150)
N (0.4253, 0.8506, 0.6812)
N (0.5747, 0.1494, 0.3188)
N (0.3031, 0.8385, 0.9705)
N (0.6969, 0.1615, 0.0295)

***

Record 6
# Sr4Bi2N

Sr4Bi2N after structural relaxation (PBE, Alexandria via LeMat-Bulk).

Computed properties:
Formation energy from raw total energies   -777 meV/atom
SG   Cmmm (65)
Calculated density   5.86 Mg/m³

Cell: 5.0914 5.3409 8.5826 Å, 108.13 90.00 90.00°
Positions (direct):
Sr (0.0000, 0.5000, 0.0000)
Sr (0.5000, 0.0000, 0.0000)
Sr (0.0000, 0.1602, 0.3204)
Sr (0.0000, 0.8398, 0.6796)
Bi (0.5000, 0.3480, 0.6960)
Bi (0.5000, 0.6520, 0.3040)
N (0.0000, 0.0000, 0.0000)

***

Record 7
# Sr3Bi2N4

Sr3Bi2N4 after structural relaxation (PBE, Alexandria via LeMat-Bulk).

Computed properties:
Formation energy from raw total energies   -174 meV/atom
SG   C2/c (15)
Calculated density   6.13 Mg/m³

Cell: 8.5292 12.4635 5.5810 Å, 90.00 96.57 136.94°
Positions (direct):
Sr (0.2206, 0.0117, 0.0626)
Sr (0.7794, 0.7911, 0.4374)
Sr (0.7794, 0.9883, 0.9374)
Sr (0.2206, 0.2089, 0.5626)
Sr (0.0000, 0.6705, 0.7500)
Sr (0.0000, 0.3295, 0.2500)
Bi (0.6066, 0.2021, 0.6556)
Bi (0.3934, 0.5955, 0.8444)
Bi (0.3934, 0.7979, 0.3444)
Bi (0.6066, 0.4045, 0.1556)
N (0.2228, 0.0022, 0.5776)
N (0.7772, 0.7793, 0.9224)
N (0.7772, 0.9978, 0.4224)
N (0.2228, 0.2207, 0.0776)
N (0.6563, 0.2559, 0.0571)
N (0.3437, 0.5997, 0.4429)
N (0.3437, 0.7441, 0.9429)
N (0.6563, 0.4003, 0.5571)

***

Record 8
# SrBiN3

SrBiN3 after structural relaxation (PBE, Alexandria via LeMat-Bulk).

Computed properties:
Formation energy from raw total energies   947 meV/atom
SG   Pm-3m (221)
Calculated density   6.87 Mg/m³

Cell: 4.3410 4.3410 4.3410 Å, 90.00 90.00 90.00°
Site moments in Bohr magnetons follow the coordinates.
Positions (direct):
Sr (0.5000, 0.5000, 0.5000)  0.00
Bi (0.0000, 0.0000, 0.0000)  -0.02
N (0.0000, 0.5000, 0.0000)  0.38
N (0.0000, 0.0000, 0.5000)  0.30
N (0.5000, 0.0000, 0.0000)  0.42

***

Record 9
# Sr8Bi3N2

Sr8Bi3N2 after structural relaxation (PBE, Alexandria via LeMat-Bulk).

Computed properties:
Formation energy from raw total energies   -723 meV/atom
SG   R-3m (166)
Calculated density   4.81 Mg/m³

Cell: 7.5154 7.5154 10.5137 Å, 69.06 69.06 60.00°
Positions (direct):
Sr (0.6812, 0.6812, 0.9565)
Sr (0.3188, 0.3188, 0.0435)
Sr (0.2362, 0.7301, 0.3036)
Sr (0.7301, 0.2362, 0.3036)
Sr (0.7301, 0.7301, 0.3036)
Sr (0.2699, 0.7638, 0.6964)
Sr (0.7638, 0.2699, 0.6964)
Sr (0.2699, 0.2699, 0.6964)
Bi (0.0000, 0.0000, 0.0000)
Bi (0.7978, 0.7978, 0.6067)
Bi (0.2022, 0.2022, 0.3933)
N (0.5993, 0.5993, 0.2020)
N (0.4007, 0.4007, 0.7980)

***

Record 10
# Sr12Bi5N2

Sr12Bi5N2 after structural relaxation (PBE, Alexandria via LeMat-Bulk).

Computed properties:
Formation energy from raw total energies   -700 meV/atom
SG   C2/m (12)
Calculated density   4.63 Mg/m³

Cell: 8.2794 10.0801 10.4545 Å, 105.05 90.00 114.25°
Site moments in Bohr magnetons follow the coordinates.
Positions (direct):
Sr (0.9992, 0.9984, 0.1651)  0.08
Sr (0.0969, 0.6956, 0.9253)  0.05
Sr (0.5987, 0.6956, 0.9253)  0.05
Sr (0.0959, 0.6958, 0.4237)  0.02
Sr (0.5999, 0.6958, 0.4237)  0.02
Sr (0.4988, 0.9975, 0.8308)  0.01
Sr (0.5012, 0.0025, 0.1692)  0.01
Sr (0.9041, 0.3042, 0.5763)  0.02
Sr (0.4001, 0.3042, 0.5763)  0.02
Sr (0.9031, 0.3044, 0.0747)  0.05
Sr (0.4013, 0.3044, 0.0747)  0.05
Sr (0.0008, 0.0016, 0.8349)  0.08
Bi (0.3099, 0.6199, 0.6524)  0.01
Bi (0.3144, 0.6289, 0.1615)  0.01
Bi (0.0000, 0.0000, 0.5000)  0.01
Bi (0.6856, 0.3711, 0.8385)  0.01
Bi (0.6901, 0.3801, 0.3476)  0.01
N (0.7462, 0.0000, 0.0000)  0.02
N (0.2538, 0.0000, 0.0000)  0.02